w) Density functional theory data (PBE) for a relaxed structure of HfTaSeN2.

Fermi-level density of states: 1.238 states/eV/atom
space-group type: P4/mmm, No. 123

Cell: 4.0695 4.0695 5.1842 Å, 90.00 90.00 90.00°
Closest atoms and distances in Å follow each position.
Sites, in units of the cell vectors:
Ta 0.5000 0.5000 0.5000  4 Se 2.88
Hf 0.0000 0.0000 0.0000  4 N 2.03
Se 0.0000 0.0000 0.5000  2 Hf 2.59, 4 Ta 2.88
N 0.0000 0.5000 0.0000  2 Hf 2.03
N 0.5000 0.0000 0.0000  2 Hf 2.03

x) Density functional theory data (PBE) for a relaxed structure of HfTaSeN2.

Fermi-level density of states: 0.627 states/eV/atom
space-group type: P4/mmm, No. 123

Cell: 4.0134 4.0134 5.0718 Å, 90.00 90.00 90.00°
Closest atoms and distances in Å follow each position.
Sites, in units of the cell vectors:
Se 0.0000 0.0000 0.5000  2 Ta 2.54, 4 Hf 2.84
Hf 0.5000 0.5000 0.5000  4 Se 2.84
N 0.5000 0.0000 0.0000  2 Ta 2.01
N 0.0000 0.5000 0.0000  2 Ta 2.01
Ta 0.0000 0.0000 0.0000  4 N 2.01

On energetic grounds, x) is preferred over the next structure by 601 meV per atom.

w) Density functional theory data (PBE) for a relaxed structure of HfTeSe2N.

Fermi-level density of states: 0.492 states/eV/atom
space-group type: P4/mmm, No. 123

Cell: 5.3767 5.3767 3.8793 Å, 90.00 90.00 90.00°
Closest atoms and distances in Å follow each position.
Sites, in units of the cell vectors:
Te 0.0000 0.0000 0.0000  2 N 1.94
N 0.0000 0.0000 0.5000  2 Te 1.94
Se 0.5000 0.0000 0.0000  2 Te 2.69
Se 0.0000 0.5000 0.0000  2 Te 2.69
Hf 0.5000 0.5000 0.5000  8 Se 3.32

x) Density functional theory data (PBE) for a relaxed structure of HfTeSe2N.

Fermi-level density of states: 0.966 states/eV/atom
space-group type: P4/mmm, No. 123

Cell: 5.3446 5.3446 3.9887 Å, 90.00 90.00 90.00°
Closest atoms and distances in Å follow each position.
Sites, in units of the cell vectors:
Se 0.5000 0.0000 0.0000  2 Hf 2.67
Se 0.0000 0.5000 0.0000  2 Hf 2.67
N 0.0000 0.0000 0.5000  2 Hf 1.99
Te 0.5000 0.5000 0.5000  8 Se 3.33
Hf 0.0000 0.0000 0.0000  2 N 1.99

On energetic grounds, x) is preferred over the next structure by 875 meV per atom.

w) Density functional theory data (PBE) for a relaxed structure of HfVSeN2.

Fermi-level density of states: 0.685 states/eV/atom
space-group type: P4/mmm, No. 123

Cell: 3.8153 3.8153 4.8435 Å, 90.00 90.00 90.00°
Closest atoms and distances in Å follow each position.
Sites, in units of the cell vectors:
Hf 0.5000 0.5000 0.5000  4 Se 2.70
V 0.0000 0.0000 0.0000  4 N 1.91
N 0.0000 0.5000 0.0000  2 V 1.91
N 0.5000 0.0000 0.0000  2 V 1.91
Se 0.0000 0.0000 0.5000  2 V 2.42, 4 Hf 2.70

x) Density functional theory data (PBE) for a relaxed structure of HfVSeN2.

Fermi-level density of states: 2.163 states/eV/atom
space-group type: P4/mmm, No. 123

Cell: 4.0613 5.3889 4.0613 Å, 90.00 90.00 90.00°
Closest atoms and distances in Å follow each position.
Sites, in units of the cell vectors:
Se 0.0000 0.5000 0.0000  2 Hf 2.69, 4 V 2.87
N 0.5000 0.0000 0.0000  2 Hf 2.03
N 0.0000 0.0000 0.5000  2 Hf 2.03
Hf 0.0000 0.0000 0.0000  4 N 2.03
V 0.5000 0.5000 0.5000  4 Se 2.87

On energetic grounds, w) is preferred over the next structure by 502 meV per atom.

w) Density functional theory data (PBE) for a relaxed structure of YHfSeN2.

Fermi-level density of states: 0.543 states/eV/atom
space-group type: P4/mmm, No. 123

Cell: 4.1707 4.1707 5.2327 Å, 90.00 90.00 90.00°
Closest atoms and distances in Å follow each position.
Sites, in units of the cell vectors:
Se 0.0000 0.0000 0.5000  2 Hf 2.62
N 0.5000 0.0000 0.0000  2 Hf 2.09
N 0.0000 0.5000 0.0000  2 Hf 2.09
Y 0.5000 0.5000 0.5000  4 Se 2.95
Hf 0.0000 0.0000 0.0000  4 N 2.09

x) Density functional theory data (PBE) for a relaxed structure of YHfSeN2.

Fermi-level density of states: 0.666 states/eV/atom
space-group type: P4/mmm, No. 123

Cell: 4.2552 4.2552 5.3671 Å, 90.00 90.00 90.00°
Closest atoms and distances in Å follow each position.
Sites, in units of the cell vectors:
Hf 0.5000 0.5000 0.5000  4 Se 3.01
Se 0.0000 0.0000 0.5000  2 Y 2.68
N 0.0000 0.5000 0.0000  2 Y 2.13
N 0.5000 0.0000 0.0000  2 Y 2.13
Y 0.0000 0.0000 0.0000  4 N 2.13

On energetic grounds, w) is preferred over the next structure by 1238 meV per atom.

w) Density functional theory data (PBE) for a relaxed structure of HfZnSe2N.

Fermi-level density of states: 0.599 states/eV/atom
space-group type: P4/mmm, No. 123

Cell: 5.2776 5.2776 4.0685 Å, 90.00 90.00 90.00°
Closest atoms and distances in Å follow each position.
Sites, in units of the cell vectors:
Se 0.5000 0.0000 0.0000  2 Hf 2.64
Se 0.0000 0.5000 0.0000  2 Hf 2.64
Zn 0.5000 0.5000 0.5000  8 Se 3.33
Hf 0.0000 0.0000 0.0000  2 N 2.03
N 0.0000 0.0000 0.5000  2 Hf 2.03

x) Density functional theory data (PBE) for a relaxed structure of HfZnSe2N.

Fermi-level density of states: 1.121 states/eV/atom
space-group type: P4/mmm, No. 123

Cell: 4.9949 4.9949 3.6523 Å, 90.00 90.00 90.00°
Closest atoms and distances in Å follow each position.
Sites, in units of the cell vectors:
Hf 0.5000 0.5000 0.5000  8 Se 3.09
N 0.0000 0.0000 0.5000  2 Zn 1.83
Se 0.0000 0.5000 0.0000  2 Zn 2.50
Se 0.5000 0.0000 0.0000  2 Zn 2.50
Zn 0.0000 0.0000 0.0000  2 N 1.83

On energetic grounds, w) is preferred over the next structure by 563 meV per atom.

w) Density functional theory data (PBE) for a relaxed structure of HfZnSeN2.

Fermi-level density of states: 0.653 states/eV/atom
space-group type: P4/mmm, No. 123

Cell: 3.8691 3.8691 4.9249 Å, 90.00 90.00 90.00°
Closest atoms and distances in Å follow each position.
Sites, in units of the cell vectors:
N 0.0000 0.5000 0.0000  2 Zn 1.93
N 0.5000 0.0000 0.0000  2 Zn 1.93
Hf 0.5000 0.5000 0.5000  4 Se 2.74
Zn 0.0000 0.0000 0.0000  4 N 1.93
Se 0.0000 0.0000 0.5000  2 Zn 2.46, 4 Hf 2.74

x) Density functional theory data (PBE) for a relaxed structure of HfZnSeN2.

Fermi-level density of states: 0.464 states/eV/atom
space-group type: P4/mmm, No. 123

Cell: 4.0468 4.0468 5.7215 Å, 90.00 90.00 90.00°
Closest atoms and distances in Å follow each position.
Sites, in units of the cell vectors:
N 0.0000 0.5000 0.0000  2 Hf 2.02
N 0.5000 0.0000 0.0000  2 Hf 2.02
Zn 0.5000 0.5000 0.5000  4 Se 2.86
Se 0.0000 0.0000 0.5000  2 Hf 2.86, 4 Zn 2.86
Hf 0.0000 0.0000 0.0000  4 N 2.02

On energetic grounds, x) is preferred over the next structure by 695 meV per atom.